No. 1
VASP calculation (PBE-GGA) on a relaxed KOsPb2O6 crystal.

Its volume is 16.202 Å³/atom. The uncorrected formation energy is -1202 meV/atom. The space-group type is No. 14. Its crystal system is monoclinic. The value obtained for the total energy is -6.15 eV per atom.

POSCAR file:
```
KOsPb2O6
1.0
-0.5074 -5.6064 1.2347
6.0108 0.0339 2.6242
-3.3576 1.8597 7.6666
Pb K Os O
4 2 2 12
Direct
0.0031 0.9675 0.2822
0.9969 0.0325 0.7178
0.5031 0.5325 0.7822
0.4969 0.4675 0.2178
0.0000 0.5000 0.5000
0.5000 0.0000 0.0000
0.5000 0.0000 0.5000
0.0000 0.5000 0.0000
0.7063 0.3515 0.9857
0.8842 0.6171 0.1912
0.2063 0.1485 0.4857
0.6426 0.2119 0.6144
0.1158 0.3829 0.8088
0.3574 0.7881 0.3856
0.3842 0.8829 0.6912
0.2937 0.6485 0.0143
0.7937 0.8515 0.5143
0.1426 0.2881 0.1144
0.6158 0.1171 0.3088
0.8574 0.7119 0.8856
```

No. 2
VASP calculation (PBE-GGA) on a relaxed BeCuSi2 crystal.

Its volume is 14.199 Å³/atom. The uncorrected formation energy is 420 meV/atom. The space-group type is No. 122. Its crystal system is tetragonal. The value obtained for the total energy is -4.25 eV per atom.

POSCAR file:
```
BeCuSi2
1.0
-7.3437 0.1215 0.3121
0.2137 -3.5741 6.4205
-3.4913 0.1102 4.3862
Cu Be Si
2 2 4
Direct
0.0000 0.0000 0.0000
0.7500 0.2500 0.5000
0.2500 0.7500 0.5000
0.5000 0.5000 0.0000
0.8750 0.7806 0.7500
0.2194 0.6250 0.2500
0.5306 0.1250 0.2500
0.3750 0.4694 0.7500
```

Please write out number 1 again, unchanged.
VASP calculation (PBE-GGA) on a relaxed KOsPb2O6 crystal.

Its volume is 16.202 Å³/atom. The uncorrected formation energy is -1202 meV/atom. The space-group type is No. 14. Its crystal system is monoclinic. The value obtained for the total energy is -6.15 eV per atom.

POSCAR file:
```
KOsPb2O6
1.0
-0.5074 -5.6064 1.2347
6.0108 0.0339 2.6242
-3.3576 1.8597 7.6666
Pb K Os O
4 2 2 12
Direct
0.0031 0.9675 0.2822
0.9969 0.0325 0.7178
0.5031 0.5325 0.7822
0.4969 0.4675 0.2178
0.0000 0.5000 0.5000
0.5000 0.0000 0.0000
0.5000 0.0000 0.5000
0.0000 0.5000 0.0000
0.7063 0.3515 0.9857
0.8842 0.6171 0.1912
0.2063 0.1485 0.4857
0.6426 0.2119 0.6144
0.1158 0.3829 0.8088
0.3574 0.7881 0.3856
0.3842 0.8829 0.6912
0.2937 0.6485 0.0143
0.7937 0.8515 0.5143
0.1426 0.2881 0.1144
0.6158 0.1171 0.3088
0.8574 0.7119 0.8856
```

Repeat the second record exactly.
VASP calculation (PBE-GGA) on a relaxed BeCuSi2 crystal.

Its volume is 14.199 Å³/atom. The uncorrected formation energy is 420 meV/atom. The space-group type is No. 122. Its crystal system is tetragonal. The value obtained for the total energy is -4.25 eV per atom.

POSCAR file:
```
BeCuSi2
1.0
-7.3437 0.1215 0.3121
0.2137 -3.5741 6.4205
-3.4913 0.1102 4.3862
Cu Be Si
2 2 4
Direct
0.0000 0.0000 0.0000
0.7500 0.2500 0.5000
0.2500 0.7500 0.5000
0.5000 0.5000 0.0000
0.8750 0.7806 0.7500
0.2194 0.6250 0.2500
0.5306 0.1250 0.2500
0.3750 0.4694 0.7500
```